Record 1
## Li2CaCd (PBE-GGA)

Data for a relaxed Li2CaCd crystal.

Output
Its energy relative to the lowest polymorph listed for this composition is 0.167 eV per atom. The calculation puts the calculated formation energy at -0.018 eV/atom. As for the space-group type: No. 122. The value obtained for the uncorrected energy is -0.0626 Ha/atom.

Lattice parameters (Å, degrees): 4.450 4.450 11.165 78.51 78.51 90.00
Fractional positions:
Li  0.691  0.125  0.250
Li  0.375  0.309  0.750
Li  0.875  0.941  0.750
Li  0.059  0.625  0.250
Cd  0.750  0.250  0.500
Cd  0.000  0.000  0.000
Ca  0.500  0.500  0.000
Ca  0.250  0.750  0.500

Record 2
## Pm8ZnSe3I4 (PBE-GGA)

Data for a relaxed Pm8ZnSe3I4 crystal.

Output
The calculation puts the uncorrected formation energy at -1.159 eV per atom. As for the space-group type: No. 166. The value obtained for the uncorrected energy is -0.1711 Ha/atom.

Lattice parameters (Å, degrees): 8.565 9.082 8.565 118.14 120.00 90.00
Fractional positions:
Se  0.500  0.500  0.000
Se  0.500  0.500  0.500
Se  0.000  0.500  0.500
Pm  0.270  0.309  0.539
Pm  0.730  0.691  0.461
Pm  0.263  0.304  0.033
Pm  0.770  0.304  0.033
Pm  0.230  0.696  0.967
Pm  0.230  0.696  0.459
Pm  0.770  0.304  0.541
Pm  0.737  0.696  0.967
I  0.500  0.000  0.500
I  0.000  0.000  0.500
I  0.500  0.000  0.000
I  0.000  0.000  0.000
Zn  0.000  0.500  0.000

Record 3
## ScGa4Fe3Co8 (PBE-GGA)

Data for a relaxed ScGa4Fe3Co8 crystal.

Output
The calculation puts the calculated formation energy at -0.270 eV/atom. As for the space-group type: No. 166. The value obtained for the uncorrected energy is -0.2412 Ha/atom.

Lattice parameters (Å, degrees): 13.606 13.606 13.606 17.24 17.24 17.24
Site moments in Bohr magnetons follow the coordinates.
Fractional positions:
Ga  0.623  0.623  0.623  -0.05
Ga  0.377  0.377  0.377  -0.05
Ga  0.874  0.874  0.874  -0.07
Ga  0.126  0.126  0.126  -0.07
Fe  0.249  0.249  0.249  2.78
Fe  0.500  0.500  0.500  2.77
Fe  0.751  0.751  0.751  2.78
Co  0.934  0.934  0.934  0.99
Co  0.561  0.561  0.561  1.11
Co  0.813  0.813  0.813  1.14
Co  0.066  0.066  0.066  0.99
Co  0.310  0.310  0.310  0.56
Co  0.187  0.187  0.187  1.14
Co  0.439  0.439  0.439  1.11
Co  0.690  0.690  0.690  0.56
Sc  0.000  0.000  0.000  -0.18

Record 4
## Rb2Li2CdBr6 (PBE-GGA)

Data for a relaxed Rb2Li2CdBr6 crystal.

Output
The calculation puts the uncorrected formation energy at -1.383 eV per atom. As for the space-group type: No. 12. The value obtained for the uncorrected energy is -0.1067 Ha/atom.

Lattice parameters (Å, degrees): 7.866 7.731 8.209 112.47 90.00 120.58
Fractional positions:
Br  0.267  0.533  0.398
Br  0.305  0.096  0.778
Br  0.733  0.467  0.602
Br  0.208  0.904  0.222
Br  0.695  0.904  0.222
Br  0.792  0.096  0.778
Li  0.935  0.869  0.715
Li  0.065  0.131  0.285
Cd  0.500  0.000  0.500
Rb  0.293  0.587  0.832
Rb  0.707  0.413  0.168

Record 5
## TiSCl6O (PBE-GGA)

Data for a relaxed TiSCl6O crystal.

Output
Its energy relative to the lowest polymorph listed for this composition is 0.308 eV per atom. The calculation puts the uncorrected formation energy at -0.818 eV per atom. As for the space-group type: No. 2. The value obtained for the uncorrected energy is -0.1446 Ha/atom.

Lattice parameters (Å, degrees): 7.942 7.979 11.309 104.79 90.46 116.50
Site moments in Bohr magnetons follow the coordinates.
Fractional positions:
Cl  0.993  0.226  0.346  0.01
Cl  0.925  0.206  0.025  0.01
Cl  0.554  0.154  0.198  0.01
Cl  0.007  0.774  0.654  0.01
Cl  0.498  0.758  0.532  0.00
Cl  0.360  0.433  0.007  0.00
Cl  0.075  0.794  0.975  0.01
Cl  0.446  0.846  0.802  0.01
Cl  0.517  0.694  0.350  0.01
Cl  0.502  0.242  0.468  0.00
Cl  0.640  0.567  0.993  0.00
Cl  0.483  0.306  0.650  0.01
O  0.048  0.590  0.229  0.23
O  0.952  0.410  0.771  0.23
S  0.904  0.633  0.314  0.38
S  0.096  0.367  0.686  0.38
Ti  0.871  0.316  0.215  -0.03
Ti  0.129  0.684  0.785  -0.03

Record 6
## SrCa2TlH (PBE-GGA)

Data for a relaxed SrCa2TlH crystal.

Output
As for the space-group type: No. 123. The value obtained for the uncorrected energy is -0.0952 Ha/atom.

Lattice parameters (Å, degrees): 5.079 5.079 5.215 90.00 90.00 90.00
Fractional positions:
Ca  0.500  0.000  0.000
Ca  0.000  0.500  0.000
H  0.000  0.000  0.000
Tl  0.500  0.500  0.500
Sr  0.000  0.000  0.500

Record 7
## PmNdPa (PBE-GGA)

Data for a relaxed PmNdPa crystal.

Output
Its energy relative to the lowest polymorph listed for this composition is 0.000 eV per atom. The calculation puts the calculated formation energy at 0.175 eV/atom. As for the space-group type: No. 156. The value obtained for the uncorrected energy is -0.2265 Ha/atom.

Lattice parameters (Å, degrees): 3.482 3.482 8.788 90.00 90.00 120.00
Fractional positions:
Nd  0.333  0.667  0.685
Pa  0.000  0.000  0.001
Pm  0.667  0.333  0.314

Record 8
## K4YU3O12 (PBE-GGA)

Data for a relaxed K4YU3O12 crystal.

Output
The calculation puts the uncorrected formation energy at -2.919 eV per atom. As for the space-group type: No. 229. The value obtained for the uncorrected energy is -0.2988 Ha/atom.

Lattice parameters (Å, degrees): 7.489 7.489 7.489 109.47 109.47 109.47
Site moments in Bohr magnetons follow the coordinates.
Fractional positions:
O  0.250  0.750  0.500  -0.01
O  0.500  0.750  0.250  -0.01
O  0.265  0.000  0.265  -0.01
O  0.000  0.735  0.735  -0.01
O  0.250  0.500  0.750  -0.01
O  0.500  0.250  0.750  -0.01
O  0.750  0.500  0.250  -0.01
O  0.000  0.265  0.265  -0.01
O  0.750  0.250  0.500  -0.01
O  0.265  0.265  0.000  -0.01
O  0.735  0.000  0.735  -0.01
O  0.735  0.735  0.000  -0.01
K  0.500  0.500  0.500  0.00
K  0.000  0.000  0.500  0.00
K  0.000  0.500  0.000  0.00
K  0.500  0.000  0.000  0.00
Y  0.000  0.000  0.000  -0.01
U  0.000  0.500  0.500  0.37
U  0.500  0.000  0.500  0.37
U  0.500  0.500  0.000  0.37

Record 9
## LiMg5In6 (PBE-GGA)

Data for a relaxed LiMg5In6 crystal.

Output
Its energy relative to the lowest polymorph listed for this composition is 0.000 eV per atom. The calculation puts the calculated formation energy at -0.126 eV/atom. As for the space-group type: No. 12. The value obtained for the uncorrected energy is -0.0852 Ha/atom.

Lattice parameters (Å, degrees): 9.746 4.576 7.251 71.61 81.95 63.66
Fractional positions:
In  0.754  0.746  0.000
In  0.751  0.413  0.669
In  0.751  0.083  0.331
In  0.249  0.917  0.669
In  0.249  0.587  0.331
In  0.246  0.254  0.000
Li  0.000  0.000  0.000
Mg  0.500  0.833  0.334
Mg  0.000  0.665  0.669
Mg  0.500  0.167  0.666
Mg  0.500  0.500  0.000
Mg  0.000  0.335  0.331

Record 10
## Np3GaSe6 (PBE-GGA)

Data for a relaxed Np3GaSe6 crystal.

Output
The calculation puts the uncorrected formation energy at -0.989 eV per atom. As for the space-group type: No. 36. The value obtained for the uncorrected energy is -0.2670 Ha/atom.

Lattice parameters (Å, degrees): 6.845 8.912 8.912 101.94 90.00 90.00
Site moments in Bohr magnetons follow the coordinates.
Fractional positions:
Np  0.980  0.722  0.916  -3.95
Np  0.890  0.600  0.400  -3.88
Np  0.480  0.278  0.084  -3.95
Np  0.390  0.400  0.600  -3.88
Np  0.980  0.084  0.278  -3.95
Np  0.480  0.916  0.722  -3.95
Se  0.165  0.780  0.220  0.06
Se  0.665  0.220  0.780  0.06
Se  0.703  0.906  0.439  0.07
Se  0.672  0.963  0.037  0.07
Se  0.685  0.629  0.693  0.11
Se  0.685  0.307  0.371  0.11
Se  0.703  0.561  0.094  0.07
Se  0.185  0.371  0.307  0.11
Se  0.203  0.439  0.906  0.07
Se  0.172  0.037  0.963  0.07
Se  0.203  0.094  0.561  0.07
Se  0.185  0.693  0.629  0.11
Ga  0.022  0.202  0.798  -0.07
Ga  0.522  0.798  0.202  -0.07

Record 11
## NiB2H6 (PBE-GGA)

Data for a relaxed NiB2H6 crystal.

Output
Its energy relative to the lowest polymorph listed for this composition is 0.020 eV per atom. As for the space-group type: No. 2. The value obtained for the uncorrected energy is -0.1559 Ha/atom.

Lattice parameters (Å, degrees): 8.266 3.874 3.891 61.65 82.52 44.28
Site moments in Bohr magnetons follow the coordinates.
Fractional positions:
H  0.321  0.046  0.497  0.01
H  0.679  0.954  0.503  0.01
H  0.256  0.703  0.893  0.00
H  0.112  0.045  0.301  0.02
H  0.744  0.297  0.107  0.00
H  0.888  0.955  0.699  0.02
B  0.138  0.169  0.520  0.08
B  0.862  0.831  0.480  0.08
Ni  0.000  0.000  0.000  0.65

Record 12
## Ce2Y2Rh3 (PBE-GGA)

Data for a relaxed Ce2Y2Rh3 crystal.

Output
Its energy relative to the lowest polymorph listed for this composition is 0.083 eV per atom. The calculation puts the calculated formation energy at -0.623 eV/atom. As for the space-group type: No. 12. The value obtained for the uncorrected energy is -0.2689 Ha/atom.

Lattice parameters (Å, degrees): 4.721 5.872 7.135 101.08 90.00 113.70
Site moments in Bohr magnetons follow the coordinates.
Fractional positions:
Y  0.364  0.727  0.084  0.03
Y  0.636  0.273  0.916  0.03
Ce  0.126  0.253  0.361  0.39
Ce  0.874  0.747  0.639  0.39
Rh  0.811  0.623  0.290  -0.03
Rh  0.189  0.377  0.710  -0.03
Rh  0.000  0.000  0.000  -0.03

Q: Which value of uncorrected energy does entry 9 give?
A: -0.0852 Ha/atom

Q: uncorrected energy of number 4 (Rb2Li2CdBr6)?
A: -0.1067 Ha/atom